Record 1
# Mn2MoIr

A relaxed Mn2MoIr crystal (GGA-PBEsol, the Alexandria database).

The structure in POSCAR format:
```
Mn2MoIr
1.0
2.6029 0.0000 0.0000
0.0000 2.6029 0.0000
0.0000 0.0000 7.6125
Mn Mo Ir
2 1 1
Direct
0.0000 0.0000 0.2646
0.0000 0.0000 0.7354
0.5000 0.5000 0.0000
0.5000 0.5000 0.5000
```

Output
* DFT total energy: -10.213 eV/atom
* size of the total moment: 2.7 μB per formula unit
* formation energy: 25 kJ/mol of formula units

Record 2
# TcOs

A relaxed TcOs crystal (GGA-PBEsol, the Alexandria database).

The structure in POSCAR format:
```
TcOs
1.0
2.7276 0.0000 0.0000
-1.3638 2.3622 0.0000
0.0000 0.0000 8.6557
Os Tc
2 2
Direct
0.3333 0.6667 0.8746
0.6667 0.3333 0.1254
0.3333 0.6667 0.3734
0.6667 0.3333 0.6266
```

Output
* DFT total energy: -11.784 eV/atom
* size of the total moment: 0.0 μB per formula unit
* formation energy: -8 kJ/mol of formula units

Record 3
# Na2Cd2Pt

A relaxed Na2Cd2Pt crystal (GGA-PBEsol, the Alexandria database).

The structure in POSCAR format:
```
Na2Cd2Pt
1.0
4.8524 0.0000 0.0000
0.0000 6.9340 0.0000
0.0000 0.0000 6.9340
Na Cd Pt
4 4 2
Direct
0.5000 0.3212 0.1788
0.5000 0.6788 0.8212
0.5000 0.8212 0.3212
0.5000 0.1788 0.6788
0.0000 0.1445 0.3555
0.0000 0.8555 0.6445
0.0000 0.3555 0.8555
0.0000 0.6445 0.1445
0.0000 0.5000 0.5000
0.0000 0.0000 0.0000
```

Output
* DFT total energy: -2.481 eV/atom
* size of the total moment: 0.0 μB per formula unit
* formation energy: -24 kJ/mol of formula units

Record 4
# TcSbTe2Mo

A relaxed TcSbTe2Mo crystal (GGA-PBEsol, the Alexandria database).

The structure in POSCAR format:
```
TcSbTe2Mo
1.0
-2.5460 2.1739 3.6821
-0.8839 -4.6209 2.1169
4.3437 0.4291 2.7502
Sb Te Tc Mo
1 2 1 1
Direct
0.5000 0.0000 0.0000
0.0000 0.0000 0.5000
0.0000 0.5000 0.0000
0.0000 0.0000 0.0000
0.5000 0.5000 0.5000
```

Output
* DFT total energy: -5.679 eV/atom
* formation energy without anion corrections: 1.25 eV per atom
* size of the total moment: 3.1 μB per formula unit

Record 5
# As2RuSeN

A relaxed As2RuSeN crystal (GGA-PBEsol, the Alexandria database).

The structure in POSCAR format:
```
As2RuSeN
1.0
-1.7933 -0.5891 -3.7550
1.3410 -3.9830 -0.0156
-3.4896 -1.1822 1.8520
Se N As Ru
1 1 2 1
Direct
0.0000 0.0000 0.5000
0.0000 0.0000 0.0000
0.0000 0.5000 0.0000
0.5000 0.0000 0.0000
0.5000 0.5000 0.5000
```

Output
* DFT total energy: -5.731 eV/atom
* formation energy without anion corrections: 0.82 eV per atom
* size of the total moment: 0.0 μB per formula unit

Record 6
# SrCa2Tl2

A relaxed SrCa2Tl2 crystal (GGA-PBEsol, the Alexandria database).

The structure in POSCAR format:
```
SrCa2Tl2
1.0
-1.2600 -3.8104 0.4127
8.4882 -2.8057 0.0105
0.2771 0.8716 8.8930
Ca Tl Sr
4 4 2
Direct
0.5000 0.1614 0.6614
0.5000 0.6614 0.8386
0.5000 0.3386 0.1614
0.5000 0.8386 0.3386
0.0000 0.1340 0.3660
0.0000 0.3660 0.8660
0.0000 0.6340 0.1340
0.0000 0.8660 0.6340
0.0000 0.5000 0.5000
0.0000 0.0000 0.0000
```

Output
* DFT total energy: -2.668 eV/atom
* size of the total moment: 0.0 μB per formula unit
* formation energy: -190 kJ/mol of formula units

Record 7
# RbF2

A relaxed RbF2 crystal (GGA-PBEsol, the Alexandria database).

The structure in POSCAR format:
```
RbF2
1.0
-3.0585 2.1927 -3.4370
-3.0785 -4.0590 0.1501
-2.7553 2.2331 3.8766
Rb F
2 4
Direct
0.5000 0.5000 0.5000
0.0000 0.0000 0.0000
0.1341 0.8658 0.5000
0.6341 0.6341 0.0000
0.3659 0.3659 0.0000
0.8658 0.1341 0.5000
```

Output
* DFT total energy: -3.421 eV/atom
* formation energy without anion corrections: -1.79 eV per atom
* size of the total moment: 1.0 μB per formula unit

Record 8
# LiZn2Cd

A relaxed LiZn2Cd crystal (GGA-PBEsol, the Alexandria database).

The structure in POSCAR format:
```
LiZn2Cd
1.0
-2.0982 0.6482 -1.8835
-2.5388 -2.9188 1.8237
-0.7718 3.3131 4.2283
Cd Li Zn
1 1 2
Direct
0.5517 0.0000 0.4803
0.2042 0.5000 0.7833
0.8107 0.0000 0.9926
0.9334 0.5000 0.2437
```

Output
* DFT total energy: -1.691 eV/atom
* size of the total moment: 0.0 μB per formula unit
* formation energy: -42 kJ/mol of formula units